# 1
VASP calculation (PBEsol) on a relaxed structure of LiPt3.

Geometry as CIF:
```
data_LiPt3
_symmetry_space_group_name_H-M 'P 63/m m c'
_symmetry_Int_Tables_number 194
_symmetry_space_group_name_Hall '-P 6c 2c'
_cell_length_a 5.4039
_cell_length_b 5.4039
_cell_length_c 4.4502
_cell_angle_alpha 90.00
_cell_angle_beta 90.00
_cell_angle_gamma 120.00
loop_
_atom_site_label
_atom_site_fract_x
_atom_site_fract_y
_atom_site_fract_z
Li1 0.3333 0.6667 0.2500
Pt1 0.1674 0.3348 0.7500
```

# 2
VASP calculation (PBEsol) on a relaxed structure of Li2Pt.

Values from the calculation:
Energy above the most stable polymorph in this dataset in eV/atom: 0.099

Geometry as CIF:
```
data_Li2Pt
_symmetry_space_group_name_H-M 'P n m a'
_symmetry_Int_Tables_number 62
_cell_length_a 5.190
_cell_length_b 3.940
_cell_length_c 7.812
_cell_angle_alpha 90.00
_cell_angle_beta 90.00
_cell_angle_gamma 90.00
loop_
_symmetry_equiv_pos_as_xyz
'x,y,z'
'-x,-y,-z'
'-x+1/2,-y,z+1/2'
'x+1/2,y,-z+1/2'
'x+1/2,-y+1/2,-z+1/2'
'-x+1/2,y+1/2,z+1/2'
'-x,y+1/2,-z'
'x,-y+1/2,z'
loop_
_atom_site_label
_atom_site_fract_x
_atom_site_fract_y
_atom_site_fract_z
Li1 0.108 0.250 0.243
Li2 0.137 0.250 0.581
Pt1 0.133 0.250 0.912
```

# 3
VASP calculation (PBEsol) on a relaxed structure of LiPt2.

Values from the calculation:
Energy above the most stable polymorph in this dataset in eV/atom: 0.133

Geometry as CIF:
```
data_LiPt2
_symmetry_space_group_name_H-M 'I m m m'
_symmetry_Int_Tables_number 71
_symmetry_space_group_name_Hall '-I 2 2'
_cell_length_a 2.667
_cell_length_b 3.928
_cell_length_c 8.051
_cell_angle_alpha 90.00
_cell_angle_beta 90.00
_cell_angle_gamma 90.00
loop_
_atom_site_label
_atom_site_fract_x
_atom_site_fract_y
_atom_site_fract_z
Li1 0.000 0.000 0.000
Pt1 0.000 0.000 0.335
```

Number 1: ΔH_f (0 K) -0.290 eV/atom. Number 2: ΔH_f (0 K) -0.381 eV/atom. Number 3: ΔH_f (0 K) -0.281 eV/atom.